# Zn2SbHS GGA-PBE optimized geometry
# V (Å³/atom): 30.6
# Mass density (kg/m3): 3100
# Magnetic moment (μB/f.u.): 0.883
# Electronic total energy (eV per atom): -2.053
data_Zn2SbHS
_cell_length_a 5.460
_cell_length_b 5.460
_cell_length_c 5.132
_cell_angle_alpha 90.00
_cell_angle_beta 90.00
_cell_angle_gamma 90.00
_space_group_name_H-M_alt 'P 4/m m m'
_space_group_IT_number 123
_space_group_name_Hall '-P 4 2'
loop_
_atom_site_label
_atom_site_type_symbol
_atom_site_fract_x
_atom_site_fract_y
_atom_site_fract_z
_atom_site_occupancy
Zn1 Zn 0.000 0.500 0.000 1
Sb1 Sb 0.000 0.000 0.000 1
H1 H 0.500 0.500 0.500 1
S1 S 0.000 0.000 0.500 1